Record 1
A crystal of YNbGaRu2 relaxed with PBEsol. Source: Alexandria via LeMat-Bulk, functional meta-GGA SCAN.

## Properties
DFT formation energy	534	meV/atom
crystal system	tetragonal

Cell lengths 4.6528, 4.6528, 4.9156 Å; angles 90.00, 90.00, 90.00 degrees
Fractional positions:
1 Y 0.5000 0.5000 0.5000
2 Ru 0.0000 0.5000 0.0000
3 Ru 0.5000 0.0000 0.0000
4 Nb 0.0000 0.0000 0.0000
5 Ga 0.0000 0.0000 0.5000

Record 2
A crystal of NbGaS2 relaxed with PBEsol. Source: Alexandria via LeMat-Bulk, functional meta-GGA SCAN.

## Properties
total energy	-69.46	eV per cell
crystal system	trigonal

Cell lengths 3.3287, 3.3287, 7.8864 Å; angles 77.82, 77.82, 60.00 degrees
Fractional positions:
1 Nb 0.0000 0.0000 0.0000
2 S 0.8961 0.8961 0.3116
3 S 0.1039 0.1039 0.6884
4 Ga 0.5000 0.5000 0.5000

Record 3
A crystal of NbGaS2 relaxed with PBEsol. Source: Alexandria via LeMat-Bulk, functional meta-GGA SCAN.

## Properties
total energy	-140.25	eV per cell
crystal system	tetragonal

Cell lengths 6.2927, 6.5925, 6.2927 Å; angles 61.49, 90.00, 118.51 degrees
Site moments in Bohr magnetons follow the coordinates.
Fractional positions:
1 Nb 0.7500 0.5000 0.7500  1.44
2 Nb 0.0000 0.0000 0.0000  1.44
3 S 0.6710 0.7500 0.3750  -0.06
4 S 0.0790 0.7500 0.8750  -0.06
5 S 0.8750 0.2500 0.6710  -0.06
6 S 0.3750 0.2500 0.0790  -0.06
7 Ga 0.2500 0.5000 0.2500  0.03
8 Ga 0.5000 0.0000 0.5000  0.03

Record 4
A crystal of YScNb2Ga relaxed with PBEsol. Source: Alexandria via LeMat-Bulk, functional meta-GGA SCAN.

## Properties
DFT formation energy	1427	meV/atom
crystal system	tetragonal

Cell lengths 4.8691, 4.8691, 5.1790 Å; angles 90.00, 90.00, 90.00 degrees
Fractional positions:
1 Y 0.0000 0.0000 0.0000
2 Sc 0.5000 0.5000 0.5000
3 Nb 0.0000 0.5000 0.0000
4 Nb 0.5000 0.0000 0.0000
5 Ga 0.0000 0.0000 0.5000

Record 5
A crystal of NbGaSe2 relaxed with PBEsol. Source: Alexandria via LeMat-Bulk, functional meta-GGA SCAN.

## Properties
total energy	-180.86	eV per cell
crystal system	tetragonal

Cell lengths 6.5987, 6.8524, 6.5987 Å; angles 118.78, 90.00, 118.78 degrees
Site moments in Bohr magnetons follow the coordinates.
Fractional positions:
1 Nb 0.2500 0.5000 0.7500  1.59
2 Nb 0.0000 0.0000 0.0000  1.59
3 Ga 0.7500 0.5000 0.2500  0.01
4 Ga 0.5000 0.0000 0.5000  0.01
5 Se 0.3381 0.2500 0.3750  -0.06
6 Se 0.9119 0.2500 0.8750  -0.06
7 Se 0.1250 0.7500 0.6619  -0.06
8 Se 0.6250 0.7500 0.0881  -0.06

Record 6
A crystal of Nb2GaSe2 relaxed with PBEsol. Source: Alexandria via LeMat-Bulk, functional meta-GGA SCAN.

## Properties
total energy	-122.57	eV per cell
crystal system	tetragonal

Cell lengths 4.1582, 4.1582, 6.4784 Å; angles 108.72, 108.72, 90.00 degrees
Fractional positions:
1 Nb 0.3846 0.3846 0.7692
2 Nb 0.6154 0.6154 0.2308
3 Ga 0.0000 0.0000 0.0000
4 Se 0.2500 0.7500 0.5000
5 Se 0.7500 0.2500 0.5000

Record 7
A crystal of Nb2GaSn2 relaxed with PBEsol. Source: Alexandria via LeMat-Bulk, functional meta-GGA SCAN.

## Properties
DFT formation energy	326	meV/atom
crystal system	tetragonal

Cell lengths 3.9042, 3.9042, 7.6330 Å; angles 104.82, 104.82, 90.00 degrees
Fractional positions:
1 Nb 0.2500 0.7500 0.5000
2 Nb 0.7500 0.2500 0.5000
3 Sn 0.4002 0.4002 0.8003
4 Sn 0.5998 0.5998 0.1997
5 Ga 0.0000 0.0000 0.0000

Record 8
A crystal of Nb3GaSn relaxed with PBEsol. Source: Alexandria via LeMat-Bulk, functional meta-GGA SCAN.

## Properties
DFT formation energy	1619	meV/atom
crystal system	cubic

Cell lengths 4.9751, 4.9751, 4.9751 Å; angles 90.00, 90.00, 90.00 degrees
Site moments in Bohr magnetons follow the coordinates.
Fractional positions:
1 Nb 0.0000 0.5000 0.0000  0.37
2 Nb 0.0000 0.0000 0.5000  0.37
3 Nb 0.5000 0.0000 0.0000  0.37
4 Sn 0.0000 0.0000 0.0000  0.04
5 Ga 0.5000 0.5000 0.5000  -0.01

Record 9
A crystal of Ta2NbGa2 relaxed with PBEsol. Source: Alexandria via LeMat-Bulk, functional meta-GGA SCAN.

## Properties
DFT formation energy	-385	meV/atom
crystal system	tetragonal

Cell lengths 3.4786, 6.8427, 6.8427 Å; angles 90.00, 90.00, 90.00 degrees
Fractional positions:
1 Nb 0.0000 0.0000 0.0000
2 Nb 0.0000 0.5000 0.5000
3 Ga 0.0000 0.3741 0.8741
4 Ga 0.0000 0.8741 0.6259
5 Ga 0.0000 0.6259 0.1259
6 Ga 0.0000 0.1259 0.3741
7 Ta 0.5000 0.1753 0.6753
8 Ta 0.5000 0.6753 0.8247
9 Ta 0.5000 0.8247 0.3247
10 Ta 0.5000 0.3247 0.1753

Record 10
A crystal of TaNb2Ga2 relaxed with PBEsol. Source: Alexandria via LeMat-Bulk, functional meta-GGA SCAN.

## Properties
DFT formation energy	-477	meV/atom
crystal system	tetragonal

Cell lengths 3.4802, 6.8565, 6.8565 Å; angles 90.00, 90.00, 90.00 degrees
Fractional positions:
1 Nb 0.5000 0.1756 0.6756
2 Nb 0.5000 0.6756 0.8244
3 Nb 0.5000 0.8244 0.3244
4 Nb 0.5000 0.3244 0.1756
5 Ga 0.0000 0.3742 0.8742
6 Ga 0.0000 0.8742 0.6258
7 Ga 0.0000 0.6258 0.1258
8 Ga 0.0000 0.1258 0.3742
9 Ta 0.0000 0.0000 0.0000
10 Ta 0.0000 0.5000 0.5000

Record 11
A crystal of Nb2Ga2Tc relaxed with PBEsol. Source: Alexandria via LeMat-Bulk, functional meta-GGA SCAN.

## Properties
DFT formation energy	-364	meV/atom
crystal system	tetragonal

Cell lengths 3.5619, 6.6254, 6.6254 Å; angles 90.00, 90.00, 90.00 degrees
Fractional positions:
1 Nb 0.5000 0.1709 0.6709
2 Nb 0.5000 0.6709 0.8291
3 Nb 0.5000 0.8291 0.3291
4 Nb 0.5000 0.3291 0.1709
5 Tc 0.0000 0.0000 0.0000
6 Tc 0.0000 0.5000 0.5000
7 Ga 0.0000 0.3686 0.8686
8 Ga 0.0000 0.8686 0.6314
9 Ga 0.0000 0.6314 0.1314
10 Ga 0.0000 0.1314 0.3686

Record 12
A crystal of Ti2NbGa2 relaxed with PBEsol. Source: Alexandria via LeMat-Bulk, functional meta-GGA SCAN.

## Properties
DFT formation energy	-489	meV/atom
crystal system	tetragonal

Cell lengths 3.2957, 6.9634, 6.9634 Å; angles 90.00, 90.00, 90.00 degrees
Fractional positions:
1 Nb 0.0000 0.0000 0.0000
2 Nb 0.0000 0.5000 0.5000
3 Ga 0.0000 0.3746 0.8746
4 Ga 0.0000 0.8746 0.6254
5 Ga 0.0000 0.6254 0.1254
6 Ga 0.0000 0.1254 0.3746
7 Ti 0.5000 0.1765 0.6765
8 Ti 0.5000 0.6765 0.8235
9 Ti 0.5000 0.8235 0.3235
10 Ti 0.5000 0.3235 0.1765

Calculated values (μB per atom) of magnetic moment for the records, taken in order: 0.000 0.000 0.484 0.000 0.501 0.000 0.000 0.292 0.000 0.000 0.000 0.000.